{"formula": "Ce2TmSb4", "functional": "GGA-PBE", "state": "optimized geometry", "spacegroup": "P-4m2", "formation_energy_uncorrected_mev_per_atom": -770, "lattice_angstrom": [[-3.750, -2.052, -0.714], [1.259, -0.890, -4.050], [4.737, -9.925, 3.652]], "species": ["Sb", "Sb", "Sb", "Sb", "Ce", "Ce", "Tm"], "frac_coords": [[0.500, 0.000, 0.181], [0.000, 0.000, 0.500], [0.500, 0.500, 0.500], [0.000, 0.500, 0.819], [0.000, 0.500, 0.286], [0.500, 0.000, 0.714], [0.500, 0.500, 0.000]]}


{"formula": "TbPrMgAl", "functional": "GGA-PBE", "state": "optimized geometry", "ef_ev_per_atom": -0.26, "spacegroup": "F-43m", "lattice_angstrom": [[5.315, 0.000, 0.000], [2.658, 4.603, 0.000], [2.658, 1.534, 4.340]], "species": ["Tb", "Pr", "Al", "Mg"], "frac_coords": [[0.250, 0.250, 0.250], [0.750, 0.750, 0.750], [0.000, 0.000, 0.000], [0.500, 0.500, 0.500]]}


{"formula": "MnAlP2Cl", "functional": "GGA-PBE", "state": "optimized geometry", "spacegroup": "P4/mmm", "formation_energy_uncorrected_mev_per_atom": 428, "e_above_lowest_polymorph_mev_per_atom": 159.6, "lattice_angstrom": [[4.689, 0.000, 0.000], [0.000, 4.689, 0.000], [0.000, 0.000, 4.693]], "species": ["Cl", "Al", "P", "P", "Mn"], "frac_coords": [[0.000, 0.000, 0.500], [0.000, 0.000, 0.000], [0.500, 0.000, 0.000], [0.000, 0.500, 0.000], [0.500, 0.500, 0.500]]}


{"formula": "SrIn12Bi6", "functional": "GGA-PBE", "state": "optimized geometry", "ef_ev_per_atom": -0.02, "spacegroup": "R-3", "lattice_angstrom": [[8.485, 0.482, 1.465], [1.313, 8.397, 1.465], [0.532, 0.482, 8.594]], "species": ["In", "In", "In", "In", "In", "In", "In", "In", "In", "In", "In", "In", "Bi", "Bi", "Bi", "Bi", "Bi", "Bi", "Sr"], "frac_coords": [[0.508, 0.439, 0.777], [0.777, 0.508, 0.439], [0.223, 0.492, 0.561], [0.439, 0.777, 0.508], [0.492, 0.561, 0.223], [0.187, 0.344, 0.992], [0.008, 0.813, 0.656], [0.344, 0.992, 0.187], [0.561, 0.223, 0.492], [0.813, 0.656, 0.008], [0.656, 0.008, 0.813], [0.992, 0.187, 0.344], [0.896, 0.394, 0.793], [0.394, 0.793, 0.896], [0.207, 0.104, 0.606], [0.104, 0.606, 0.207], [0.793, 0.896, 0.394], [0.606, 0.207, 0.104], [0.000, 0.000, 0.000]]}


{"formula": "Tb2Er3In2", "functional": "GGA-PBE", "state": "optimized geometry", "ef_ev_per_atom": -0.28, "spacegroup": "R-3m", "e_above_lowest_polymorph_mev_per_atom": 0.0, "lattice_angstrom": [[-4.596, 0.538, 2.703], [4.597, -0.752, 2.653], [-0.419, 8.221, -2.351]], "species": ["Er", "Er", "Er", "In", "In", "Tb", "Tb"], "frac_coords": [[0.347, 0.694, 0.542], [0.653, 0.306, 0.458], [0.500, 0.000, 0.000], [0.783, 0.567, 0.850], [0.217, 0.433, 0.150], [0.076, 0.152, 0.727], [0.924, 0.848, 0.273]]}


{"formula": "Ca2SeI", "functional": "GGA-PBE", "state": "optimized geometry", "spacegroup": "R-3m", "formation_energy_uncorrected_mev_per_atom": -1499, "e_above_lowest_polymorph_mev_per_atom": 0.0, "lattice_angstrom": [[-0.385, -4.289, 0.092], [3.225, -2.483, -1.408], [3.824, -2.370, 6.351]], "species": ["I", "Se", "Ca", "Ca"], "frac_coords": [[0.500, 0.500, 0.500], [0.000, 0.000, 0.000], [0.734, 0.734, 0.798], [0.266, 0.266, 0.202]]}


{"formula": "TaTlS2", "functional": "GGA-PBE", "state": "optimized geometry", "spacegroup": "P3m1", "formation_energy_uncorrected_mev_per_atom": -785, "lattice_angstrom": [[2.916, -1.683, 0.000], [0.000, 3.367, 0.000], [0.000, 0.000, 9.262]], "species": ["Ta", "S", "S", "Tl"], "frac_coords": [[0.000, 0.000, 0.990], [0.333, 0.667, 0.822], [0.667, 0.333, 0.158], [0.333, 0.667, 0.485]]}


{"formula": "BiPCO2", "functional": "GGA-PBE", "state": "optimized geometry", "spacegroup": "P4/mmm", "formation_energy_uncorrected_mev_per_atom": 1443, "e_above_lowest_polymorph_mev_per_atom": 741.2, "lattice_angstrom": [[-1.223, 2.857, -2.593], [-3.286, 0.655, 2.271], [2.868, 3.958, 3.008]], "species": ["C", "O", "O", "Bi", "P"], "frac_coords": [[0.500, 0.500, 0.500], [0.500, 0.000, 0.000], [0.000, 0.500, 0.000], [0.000, 0.000, 0.000], [0.000, 0.000, 0.500]]}


{"formula": "PmZrCdOs", "functional": "GGA-PBE", "state": "optimized geometry", "ef_ev_per_atom": -0.05, "spacegroup": "F-43m", "lattice_angstrom": [[4.974, 0.000, 0.000], [2.487, 4.308, 0.000], [2.487, 1.436, 4.061]], "species": ["Zr", "Pm", "Cd", "Os"], "frac_coords": [[0.000, 0.000, 0.000], [0.500, 0.500, 0.500], [0.750, 0.750, 0.750], [0.250, 0.250, 0.250]]}


{"formula": "Ac2NpH12Rh3", "functional": "GGA-PBE", "state": "optimized geometry", "dft_energy_ev_per_cell": -88.5, "spacegroup": "R-3m", "lattice_angstrom": [[-3.082, 1.456, 5.318], [1.513, -3.457, 5.065], [3.415, 2.967, 4.408]], "species": ["H", "H", "H", "H", "H", "H", "H", "H", "H", "H", "H", "H", "Ac", "Ac", "Rh", "Rh", "Rh", "Np"], "frac_coords": [[0.107, 0.721, 0.721], [0.873, 0.873, 0.410], [0.590, 0.127, 0.127], [0.410, 0.873, 0.873], [0.279, 0.279, 0.893], [0.279, 0.893, 0.279], [0.721, 0.107, 0.721], [0.127, 0.590, 0.127], [0.893, 0.279, 0.279], [0.721, 0.721, 0.107], [0.127, 0.127, 0.590], [0.873, 0.410, 0.873], [0.382, 0.382, 0.382], [0.618, 0.618, 0.618], [0.500, 0.000, 0.000], [0.000, 0.500, 0.000], [0.000, 0.000, 0.500], [0.000, 0.000, 0.000]]}


{"formula": "TiP3Cl", "functional": "GGA-PBE", "state": "optimized geometry", "spacegroup": "Pm-3m", "formation_energy_uncorrected_mev_per_atom": 1049, "e_above_lowest_polymorph_mev_per_atom": 780.0, "lattice_angstrom": [[-3.246, 0.572, 3.037], [0.141, -4.372, 0.974], [3.087, 0.800, 3.149]], "species": ["P", "P", "P", "Ti", "Cl"], "frac_coords": [[0.000, 0.500, 0.000], [0.500, 0.000, 0.000], [0.000, 0.000, 0.500], [0.500, 0.500, 0.500], [0.000, 0.000, 0.000]]}